1.
This record from the Alexandria database describes crystalline LiScRu2 at its relaxed geometry. The functional is PBE-GGA.

Unit cell a=2.918 b=2.918 c=25.278 alpha=90.00 beta=90.00 gamma=120.00
Fractional positions:
Li 0.000 0.000 0.000
Li 0.333 0.667 0.667
Li 0.667 0.333 0.333
Sc 0.000 0.000 0.500
Sc 0.333 0.667 0.167
Sc 0.667 0.333 0.833
Ru 0.000 0.000 0.249
Ru 0.000 0.000 0.751
Ru 0.333 0.667 0.417
Ru 0.333 0.667 0.916
Ru 0.667 0.333 0.084
Ru 0.667 0.333 0.583

Results
The total magnetic moment is 0.000 μB/atom. The calculation puts the energy relative to the elements at 82 meV/atom.


2.
This record from the Alexandria database describes crystalline BeInNi2 at its relaxed geometry. The functional is PBE-GGA.

Unit cell a=5.876 b=5.876 c=5.876 alpha=90.00 beta=90.00 gamma=90.00
Fractional positions:
Be 0.000 0.000 0.000
Be 0.000 0.500 0.500
Be 0.500 0.000 0.500
Be 0.500 0.500 0.000
In 0.000 0.000 0.500
In 0.000 0.500 0.000
In 0.500 0.000 0.000
In 0.500 0.500 0.500
Ni 0.250 0.250 0.250
Ni 0.250 0.250 0.750
Ni 0.250 0.750 0.250
Ni 0.250 0.750 0.750
Ni 0.750 0.250 0.250
Ni 0.750 0.250 0.750
Ni 0.750 0.750 0.250
Ni 0.750 0.750 0.750

Results
The total magnetic moment is 0.000 μB/atom. The calculation puts the energy relative to the elements at -59 meV/atom.


3.
This record from the Alexandria database describes crystalline Fe5Ni6Rh at its relaxed geometry. The functional is PBE-GGA.

Unit cell a=5.663 b=5.663 c=7.244 alpha=90.00 beta=90.00 gamma=143.16
Fractional positions:
Fe 0.000 0.000 0.000
Fe 0.332 0.668 0.500
Fe 0.333 0.667 0.000
Fe 0.667 0.333 0.000
Fe 0.668 0.332 0.500
Ni 0.168 0.832 0.247
Ni 0.168 0.832 0.753
Ni 0.500 0.500 0.243
Ni 0.500 0.500 0.757
Ni 0.832 0.168 0.247
Ni 0.832 0.168 0.753
Rh 0.000 0.000 0.500

Results
The total magnetic moment is 1.508 μB/atom. The calculation puts the energy relative to the elements at -59 meV/atom.


4.
This record from the Alexandria database describes crystalline Ti2MnAuN at its relaxed geometry. The functional is PBE-GGA.

Unit cell a=4.153 b=4.153 c=3.896 alpha=90.00 beta=90.00 gamma=90.00
Fractional positions:
Ti 0.000 0.500 0.000
Ti 0.500 0.000 0.000
Mn 0.000 0.000 0.500
Au 0.500 0.500 0.500
N 0.000 0.000 0.000

Results
The total magnetic moment is 0.342 μB/atom. The raw formation energy is -785 meV/atom.


5.
This record from the Alexandria database describes crystalline MnZn2 at its relaxed geometry. The functional is PBE-GGA.

Unit cell a=4.336 b=4.336 c=2.725 alpha=90.00 beta=90.00 gamma=90.00
Fractional positions:
Mn 0.000 0.000 0.000
Zn 0.000 0.500 0.500
Zn 0.500 0.000 0.500

Results
The total magnetic moment is 0.984 μB/atom. The calculation puts the energy relative to the elements at 183 meV/atom.


6.
This record from the Alexandria database describes crystalline ErZrIr at its relaxed geometry. The functional is PBE-GGA.

Unit cell a=4.597 b=7.057 c=7.057 alpha=119.98 beta=90.00 gamma=90.00
Fractional positions:
Er 0.000 0.000 0.000
Er 0.000 0.415 0.831
Er 0.000 0.831 0.415
Zr 0.500 0.160 0.416
Zr 0.500 0.416 0.160
Zr 0.500 0.671 0.671
Ir 0.000 0.414 0.414
Ir 0.500 0.082 0.749
Ir 0.500 0.749 0.082

Results
The total magnetic moment is 0.000 μB/atom. The calculation puts the energy relative to the elements at -716 meV/atom.


7.
This record from the Alexandria database describes crystalline Pr6Tm5Th at its relaxed geometry. The functional is PBE-GGA.

Unit cell a=9.541 b=9.541 c=9.541 alpha=148.72 beta=115.91 gamma=73.04
Fractional positions:
Pr 0.085 0.835 0.249
Pr 0.250 0.500 0.750
Pr 0.414 0.165 0.249
Pr 0.586 0.835 0.751
Pr 0.750 0.500 0.250
Pr 0.915 0.165 0.751
Tm 0.000 0.000 0.000
Tm 0.169 0.669 0.500
Tm 0.336 0.336 0.000
Tm 0.664 0.664 0.000
Tm 0.831 0.331 0.500
Th 0.500 0.000 0.500

Results
The total magnetic moment is 0.000 μB/atom. The calculation puts the energy relative to the elements at 35 meV/atom.


8.
This record from the Alexandria database describes crystalline CuTcTe2 at its relaxed geometry. The functional is PBE-GGA.

Unit cell a=8.113 b=3.431 c=6.963 alpha=90.00 beta=105.15 gamma=90.00
Fractional positions:
Cu 0.000 0.000 0.000
Cu 0.500 0.500 0.000
Tc 0.254 0.500 0.170
Tc 0.754 0.000 0.170
Te 0.251 0.000 0.856
Te 0.499 0.000 0.373
Te 0.751 0.500 0.856
Te 0.999 0.500 0.373

Results
The total magnetic moment is 0.000 μB/atom. The raw formation energy is 154 meV/atom.


9.
This record from the Alexandria database describes crystalline AsP2Au at its relaxed geometry. The functional is PBE-GGA.

Unit cell a=3.936 b=4.982 c=5.490 alpha=83.45 beta=69.00 gamma=67.01
Fractional positions:
As 0.000 0.000 0.000
P 0.348 0.325 0.976
P 0.352 0.638 0.658
Au 0.005 0.604 0.385

Results
The total magnetic moment is 0.000 μB/atom. The calculation puts the energy relative to the elements at 96 meV/atom.


10.
This record from the Alexandria database describes crystalline DyZn2Rh at its relaxed geometry. The functional is PBE-GGA.

Unit cell a=4.287 b=4.287 c=14.176 alpha=90.00 beta=90.00 gamma=120.00
Fractional positions:
Dy 0.000 0.000 0.000
Dy 0.333 0.667 0.667
Dy 0.667 0.333 0.333
Zn 0.000 0.000 0.214
Zn 0.000 0.000 0.786
Zn 0.333 0.667 0.453
Zn 0.333 0.667 0.881
Zn 0.667 0.333 0.119
Zn 0.667 0.333 0.547
Rh 0.000 0.000 0.500
Rh 0.333 0.667 0.167
Rh 0.667 0.333 0.833

Results
The total magnetic moment is 0.000 μB/atom. The calculation puts the energy relative to the elements at -415 meV/atom.


11.
This record from the Alexandria database describes crystalline Cs4Rb2Hg at its relaxed geometry. The functional is PBE-GGA.

Unit cell a=7.464 b=7.464 c=24.360 alpha=90.00 beta=90.00 gamma=90.00
Fractional positions:
Cs 0.000 0.000 0.163
Cs 0.000 0.000 0.837
Cs 0.000 0.500 0.000
Cs 0.000 0.500 0.500
Cs 0.500 0.000 0.000
Cs 0.500 0.000 0.500
Cs 0.500 0.500 0.337
Cs 0.500 0.500 0.663
Rb 0.000 0.000 0.360
Rb 0.000 0.000 0.640
Rb 0.500 0.500 0.140
Rb 0.500 0.500 0.860
Hg 0.000 0.000 0.000
Hg 0.500 0.500 0.500

Results
The total magnetic moment is 0.000 μB/atom. The calculation puts the energy relative to the elements at -31 meV/atom.


12.
This record from the Alexandria database describes crystalline HoSiSe at its relaxed geometry. The functional is PBE-GGA.

Unit cell a=3.776 b=3.776 c=18.219 alpha=90.00 beta=90.00 gamma=90.00
Fractional positions:
Ho 0.000 0.000 0.139
Ho 0.000 0.000 0.861
Ho 0.500 0.500 0.361
Ho 0.500 0.500 0.639
Si 0.000 0.500 0.000
Si 0.000 0.500 0.500
Si 0.500 0.000 0.000
Si 0.500 0.000 0.500
Se 0.000 0.000 0.311
Se 0.000 0.000 0.689
Se 0.500 0.500 0.189
Se 0.500 0.500 0.811

Results
The total magnetic moment is 0.000 μB/atom. The raw formation energy is -1089 meV/atom.